Record 1
A geometry-optimized SrNiP2 structure. Source: Alexandria, functional PBE.

```
SrNiP2
1.0
-0.865 -3.021 3.172
0.653 -3.303 -2.933
8.125 1.929 1.932
Ni Sr P
2 2 4
direct
0.453 0.518 0.287
0.518 0.453 0.787
0.069 0.876 0.016
0.876 0.069 0.516
0.451 0.948 0.759
0.584 0.367 0.041
0.367 0.584 0.541
0.948 0.451 0.259
```

Summary:
**Energy of formation**: -2.7 eV per formula unit
**Space-group type**: No. 9
**Crystal system**: monoclinic


Record 2
A geometry-optimized MnNbP2Cl structure. Source: Alexandria, functional PBE.

```
MnNbP2Cl
1.0
4.458 0.000 0.000
0.000 4.458 0.000
0.000 0.000 4.466
P Nb Mn Cl
2 1 1 1
direct
0.500 0.000 0.000
0.000 0.500 0.000
0.500 0.500 0.500
0.000 0.000 0.000
0.000 0.000 0.500
```

Summary:
**Space-group type**: No. 123
**ΔE to the lowest computed polymorph**: 0 meV per atom
**Crystal system**: tetragonal


Record 3
A geometry-optimized La4Cl3 structure. Source: Alexandria, functional PBE.

```
La4Cl3
1.0
-4.470 -12.622 -1.589
-8.527 -10.318 1.629
5.097 12.260 -2.352
Cl La
3 4
direct
0.000 0.000 0.000
0.303 0.303 0.000
0.697 0.697 0.000
0.415 0.415 0.000
0.814 0.814 0.000
0.585 0.585 0.000
0.186 0.186 0.000
```

Summary:
**E**: -4.74 eV/atom
**Space-group type**: No. 139
**Crystal system**: tetragonal